Record 1
This record from Alexandria via LeMat-Bulk describes a geometry-optimized Pm6HoEr4 structure. The functional is GGA-PBE.

a b c (Å): 6.6495 6.6495 17.0156
angles (deg): 90.00 90.00 90.00
Closest atoms and distances in Å follow each position.
Space group I-42m (No. 121)
Asymmetric unit:
Pm: 0.0000 0.5000 0.0000 (multiplicity 4)  4 Er 3.25, 2 Ho 3.32
Pm: 0.1892 0.1892 0.1763 (multiplicity 8)  5 Er 3.37-3.61, 1 Ho 3.49, 1 Pm 3.56
Ho: 0.0000 0.0000 0.0000 (multiplicity 2)  8 Pm 3.32-3.49, 4 Er 3.70
Er: 0.1792 0.1792 0.3744 (multiplicity 8)  7 Pm 3.25-3.61, 1 Er 3.37

Properties
The energy relative to the elements comes out at 0.3055 eV/atom. Its density of states at the Fermi level is 34.2 states/eV per cell.

Record 2
This record from Alexandria via LeMat-Bulk describes a geometry-optimized Ho4SbS2 structure. The functional is GGA-PBE.

a b c (Å): 4.0287 12.8450 13.1732
angles (deg): 90.00 90.00 90.00
Closest atoms and distances in Å follow each position.
Space group Cmcm (No. 63)
Asymmetric unit:
Ho: 0.0000 0.0000 0.0000 (multiplicity 4)  4 S 2.75
Ho: 0.0000 0.2639 0.1164 (multiplicity 8)  3 S 2.66-2.74
Ho: 0.0000 0.4329 0.7500 (multiplicity 4)  2 S 2.66
Sb: 0.0000 0.1094 0.7500 (multiplicity 4)  6 Ho 3.03-3.13
S: 0.0000 0.3675 0.5587 (multiplicity 8)  6 Ho 2.66-2.75

Properties
The calculation puts the formation energy without anion corrections at -1.4631 eV/atom. Its density of states at the Fermi level is 11.6 states/eV per cell.

Record 3
This record from Alexandria via LeMat-Bulk describes a geometry-optimized AcSmTlZn structure. The functional is GGA-PBE.

a b c (Å): 3.8583 3.8583 7.8972
angles (deg): 90.00 90.00 90.00
Closest atoms and distances in Å follow each position.
Space group P4mm (No. 99)
Asymmetric unit:
Ac: 0.0000 0.0000 0.0000 (multiplicity 1)  4 Zn 3.40, 4 Tl 3.60, 1 Sm 3.61
Sm: 0.0000 0.0000 0.4571 (multiplicity 1)  4 Zn 3.15, 4 Tl 3.34
Tl: 0.5000 0.5000 0.7022 (multiplicity 1)  4 Sm 3.34, 1 Zn 3.51, 4 Ac 3.60
Zn: 0.5000 0.5000 0.2580 (multiplicity 1)  4 Sm 3.15, 4 Ac 3.40, 1 Tl 3.51

Properties
The energy relative to the elements comes out at -0.3154 eV/atom. Its density of states at the Fermi level is 3.4 states/eV per cell. As for the energy above the most stable polymorph in this dataset: 0.000 eV per atom.

Record 4
This record from Alexandria via LeMat-Bulk describes a geometry-optimized CaMgSb2 structure. The functional is GGA-PBE.

a b c (Å): 3.5740 3.5740 8.3541
angles (deg): 90.00 90.00 90.00
Closest atoms and distances in Å follow each position.
Space group P4/mmm (No. 123)
Asymmetric unit:
Ca: 0.0000 0.0000 0.0000 (multiplicity 1)  8 Sb 3.37, 4 Ca 3.57
Mg: 0.0000 0.0000 0.5000 (multiplicity 1)  8 Sb 3.19
Sb: 0.5000 0.5000 0.2669 (multiplicity 2)  4 Mg 3.19, 4 Ca 3.37

Properties
The calculation puts the formation energy without anion corrections at -0.4217 eV/atom. Its density of states at the Fermi level is 1.9 states/eV per cell.